Below is an optimized crystal structure of BeInOs2, with properties calculated at the GGA-PBE level.

Cell lengths 4.636, 4.636, 4.636 Å; angles 128.81, 128.81, 75.32 degrees
Positions (direct):
Be  0.500  0.500  0.000
Os  0.000  0.000  0.000
Os  0.250  0.750  0.500
In  0.750  0.250  0.500

Output
DOS at the Fermi energy = 3.01 states/eV/f.u.
offset from the most stable computed form = 0.263 eV/atom
total moment = 0.00 μB per formula unit
formation energy = 0.539 eV per atom
space-group type = I-4m2
theoretical density = 14.215 Mg/m³